Record 1
The following is a DFT calculation (PBE) of crystalline PmPr2DySe4 at its relaxed geometry.

Geometry as POSCAR:
```
PmPr2DySe4
1.0
4.137 0.000 0.000
0.000 7.370 -0.215
0.000 2.527 6.808
Pm Pr Dy Se
1 2 1 4
direct
0.500 0.500 0.000
0.000 0.000 0.000
0.500 0.000 0.500
0.000 0.500 0.500
0.000 0.740 0.748
0.000 0.260 0.252
0.500 0.736 0.260
0.500 0.264 0.740
```

Properties
* total magnetization: 0.00 Bohr magnetons per cell
* N(E_F): 0.58 states/eV/atom
* total energy: -47.39 eV/cell
* symmetry: P2/m (10)

=====

Record 2
The following is a DFT calculation (PBE) of crystalline AlFeSb2 at its relaxed geometry.

Geometry as POSCAR:
```
AlFeSb2
1.0
-2.559 1.980 -3.663
3.117 -5.179 -0.936
-2.413 -2.827 -0.736
Sb Fe Al
2 1 1
direct
0.000 0.000 0.000
0.000 0.500 0.500
0.500 0.000 0.500
0.500 0.500 0.000
```

Properties
* total magnetization: 2.62 Bohr magnetons per cell
* N(E_F): 0.89 states/eV/atom
* total energy: -18.86 eV/cell
* symmetry: C2/m (12)

=====

Record 3
The following is a DFT calculation (PBE) of crystalline TlCu2SbC at its relaxed geometry.

Geometry as POSCAR:
```
TlCu2SbC
1.0
4.974 0.000 0.000
0.000 4.279 0.000
0.000 0.000 4.974
Sb Tl C Cu
1 1 1 2
direct
0.500 0.500 0.500
0.000 0.000 0.000
0.000 0.500 0.000
0.000 0.000 0.500
0.500 0.000 0.000
```

Properties
* total magnetization: 0.00 Bohr magnetons per cell
* N(E_F): 0.59 states/eV/atom
* total energy: -15.29 eV/cell
* symmetry: P4/mmm (123)

=====

Record 4
The following is a DFT calculation (PBE) of crystalline BeCuOs2 at its relaxed geometry.

Geometry as POSCAR:
```
BeCuOs2
1.0
4.403 -0.014 0.000
1.127 4.256 0.000
-2.765 -2.121 2.691
Be Os Cu
1 2 1
direct
0.500 0.500 0.000
0.000 0.000 0.000
0.250 0.750 0.500
0.750 0.250 0.500
```

Properties
* total magnetization: 0.00 Bohr magnetons per cell
* N(E_F): 0.53 states/eV/atom
* ΔE_f: 20.0 kJ per mole of atoms
* total energy: -29.45 eV/cell
* symmetry: I-4m2 (119)

=====

Record 5
The following is a DFT calculation (PBE) of crystalline InGa2TcW at its relaxed geometry.

Geometry as POSCAR:
```
InGa2TcW
1.0
-0.277 -4.889 -0.013
4.895 -0.282 1.791
-1.678 0.083 4.600
Ga Tc W In
2 1 1 1
direct
0.000 0.000 0.500
0.500 0.000 0.000
0.500 0.500 0.500
0.000 0.000 0.000
0.000 0.500 0.000
```

Properties
* total magnetization: 4.48 Bohr magnetons per cell
* N(E_F): 0.80 states/eV/atom
* ΔE_f: 126.6 kJ per mole of atoms
* total energy: -25.55 eV/cell
* symmetry: P4/mmm (123)

=====

Record 6
The following is a DFT calculation (PBE) of crystalline ZrTc2P at its relaxed geometry.

Geometry as POSCAR:
```
ZrTc2P
1.0
3.291 0.000 0.000
-1.645 4.985 0.000
0.000 0.000 7.516
Zr Tc P
2 4 2
direct
0.945 0.890 0.250
0.055 0.110 0.750
0.357 0.715 0.548
0.643 0.285 0.452
0.357 0.715 0.952
0.643 0.285 0.048
0.771 0.543 0.750
0.229 0.457 0.250
```

Properties
* total magnetization: 0.00 Bohr magnetons per cell
* N(E_F): 0.68 states/eV/atom
* ΔE_f: -65.9 kJ per mole of atoms
* total energy: -74.85 eV/cell
* symmetry: Cmcm (63)

=====

Record 7
The following is a DFT calculation (PBE) of crystalline GaB2OsBr at its relaxed geometry.

Geometry as POSCAR:
```
GaB2OsBr
1.0
4.106 0.000 0.000
0.000 5.188 0.000
0.000 0.000 4.106
B Os Ga Br
2 1 1 1
direct
0.000 0.000 0.500
0.500 0.000 0.000
0.000 0.000 0.000
0.000 0.500 0.000
0.500 0.500 0.500
```

Properties
* total magnetization: 0.00 Bohr magnetons per cell
* N(E_F): 0.49 states/eV/atom
* total energy: -26.21 eV/cell
* symmetry: P4/mmm (123)

=====

Record 8
The following is a DFT calculation (PBE) of crystalline KSi2Cl at its relaxed geometry.

Geometry as POSCAR:
```
KSi2Cl
1.0
7.233 -0.017 -0.095
6.208 3.713 -0.095
-1.780 -0.489 4.565
Cl K Si
1 1 2
direct
0.750 0.750 0.750
0.250 0.250 0.250
0.963 0.963 0.138
0.537 0.537 0.362
```

Properties
* total magnetization: 0.00 Bohr magnetons per cell
* N(E_F): 0.17 states/eV/atom
* energy relative to the lowest polymorph listed for this composition: 231 meV/atom
* total energy: -14.58 eV/cell
* symmetry: C2/m (12)